This record from Alexandria describes a relaxed structure of Er3CSe2. The functional is PBE-GGA.

Results
The value obtained for the energy relative to the elements, uncorrected is -784 kJ/mol of formula units. The size of the total moment is 0.00 μB/cell.

Geometry as POSCAR:
```
Er3CSe2
1.0
-2.145 2.057 2.293
-3.835 0.388 -3.934
0.351 -6.286 2.894
C Er Se
1 3 2
direct
0.000 0.500 0.000 C
0.367 0.367 0.735 Er
0.633 0.633 0.265 Er
0.000 0.000 0.000 Er
0.324 0.824 0.649 Se
0.676 0.176 0.351 Se
```

---

This record from Alexandria describes a relaxed structure of Er3CSe3. The functional is PBE-GGA.

Results
The value obtained for the energy relative to the elements, uncorrected is -879 kJ/mol of formula units. The size of the total moment is 0.94 μB/cell.

Geometry as POSCAR:
```
Er3CSe3
1.0
6.929 0.166 -0.572
-2.939 6.278 -0.572
-1.102 -1.779 7.425
C Er Se
2 6 6
direct
0.916 0.916 0.912 C
0.084 0.084 0.088 C
0.191 0.191 0.836 Er
0.872 0.578 0.712 Er
0.809 0.809 0.164 Er
0.578 0.872 0.712 Er
0.128 0.422 0.288 Er
0.422 0.128 0.288 Er
0.688 0.312 0.000 Se
0.312 0.688 0.000 Se
0.838 0.162 0.500 Se
0.602 0.602 0.379 Se
0.162 0.838 0.500 Se
0.398 0.398 0.621 Se
```

---

This record from Alexandria describes a relaxed structure of Er4C2Se5. The functional is PBE-GGA.

Results
The value obtained for the energy relative to the elements, uncorrected is -1345 kJ/mol of formula units. The size of the total moment is 0.00 μB/cell.

Geometry as POSCAR:
```
Er4C2Se5
1.0
-2.601 0.318 3.021
5.737 -1.871 5.137
1.357 8.909 -2.417
Er C Se
4 2 5
direct
0.322 0.385 0.643 Er
0.999 0.747 0.997 Er
0.678 0.615 0.357 Er
0.001 0.253 0.003 Er
0.536 0.511 0.072 C
0.464 0.489 0.928 C
0.162 0.348 0.324 Se
0.155 0.837 0.310 Se
0.845 0.163 0.690 Se
0.500 0.000 0.000 Se
0.838 0.652 0.676 Se
```

---

This record from Alexandria describes a relaxed structure of Er4CSe5. The functional is PBE-GGA.

Results
The value obtained for the energy relative to the elements, uncorrected is -1181 kJ/mol of formula units. The size of the total moment is 0.00 μB/cell.

Geometry as POSCAR:
```
Er4CSe5
1.0
-2.694 2.148 1.807
-4.090 0.395 -6.568
-1.928 -8.118 2.590
Se Er C
5 4 1
direct
0.827 0.169 0.654 Se
0.841 0.656 0.682 Se
0.173 0.831 0.346 Se
0.159 0.344 0.318 Se
0.500 0.500 0.000 Se
0.994 0.224 0.989 Er
0.655 0.087 0.309 Er
0.006 0.776 0.011 Er
0.345 0.913 0.691 Er
0.500 0.000 0.000 C
```

---

This record from Alexandria describes a relaxed structure of Er6SiC2Se3. The functional is PBE-GGA.

Results
The value obtained for the energy relative to the elements, uncorrected is -1367 kJ/mol of formula units. The size of the total moment is 0.00 μB/cell.

Geometry as POSCAR:
```
Er6SiC2Se3
1.0
-3.686 -0.800 -0.407
1.526 -7.757 1.429
0.245 3.830 7.936
Se Er C Si
3 6 2 1
direct
0.837 0.169 0.674 Se
0.163 0.831 0.326 Se
0.500 0.500 0.000 Se
0.981 0.743 0.963 Er
0.019 0.257 0.037 Er
0.679 0.558 0.358 Er
0.321 0.442 0.642 Er
0.669 0.125 0.338 Er
0.331 0.875 0.662 Er
0.171 0.342 0.343 C
0.829 0.658 0.657 C
0.500 0.000 0.000 Si
```

---

This record from Alexandria describes a relaxed structure of Er4SiCSe2. The functional is PBE-GGA.

Results
The value obtained for the energy relative to the elements, uncorrected is -903 kJ/mol of formula units. The size of the total moment is 0.00 μB/cell.

Geometry as POSCAR:
```
Er4SiCSe2
1.0
-0.279 -3.385 1.825
6.843 -0.374 0.354
-2.354 3.268 5.700
Er C Se Si
4 1 2 1
direct
0.000 0.718 0.209 Er
0.500 0.736 0.777 Er
0.000 0.282 0.791 Er
0.500 0.264 0.223 Er
0.500 0.500 0.000 C
0.500 0.000 0.500 Se
0.000 0.500 0.500 Se
0.000 0.000 0.000 Si
```

---

What are the V values for these records? In order: 20.933; 22.337; 25.086; 25.218; 21.110; 21.874 Å³ per atom.